Entry 1:
An optimized crystal structure of GeTe2WI, computed with PBE.

Summary:
- Total DFT energy (no corrections): -17.0 eV for the cell shown
- Formation energy without anion corrections: 1.676 eV per atom
- Total magnetic moment: 0.0 μB per formula unit
- Fermi-level density of states: 10.42 states/eV per cell

a b c (Å): 5.270 5.270 5.274
angles (deg): 90.00 90.00 90.00
Space group P4/mmm (No. 123)
Inequivalent atoms, fractional coordinates:
Ge 0.000 0.000 0.000 (multiplicity 1)
Te 0.000 0.500 0.000 (multiplicity 2)
W 0.500 0.500 0.500 (multiplicity 1)
I 0.000 0.000 0.500 (multiplicity 1)

---

Entry 2:
An optimized crystal structure of Ba15Ca4Ac, computed with PBE.

Summary:
- Total DFT energy (no corrections): -39.9 eV for the cell shown
- Total magnetic moment: 0.0 μB per formula unit
- Fermi-level density of states: 34.49 states/eV per cell

a b c (Å): 6.105 6.105 31.108
angles (deg): 90.00 90.00 90.00
Space group P4/mmm (No. 123)
Inequivalent atoms, fractional coordinates:
Ba 0.000 0.000 0.000 (multiplicity 1)
Ba 0.000 0.000 0.198 (multiplicity 2)
Ba 0.000 0.000 0.399 (multiplicity 2)
Ba 0.000 0.500 0.098 (multiplicity 4)
Ba 0.000 0.500 0.298 (multiplicity 4)
Ba 0.000 0.500 0.500 (multiplicity 2)
Ca 0.500 0.500 0.198 (multiplicity 2)
Ca 0.500 0.500 0.399 (multiplicity 2)
Ac 0.500 0.500 0.000 (multiplicity 1)

---

Entry 3:
An optimized crystal structure of BaCoH4, computed with PBE.

Summary:
- Total DFT energy (no corrections): -24.0 eV for the cell shown
- Total magnetic moment: 0.4 μB per formula unit
- Fermi-level density of states: 1.71 states/eV per cell

a b c (Å): 3.545 3.545 4.854
angles (deg): 90.00 90.00 90.00
Space group P4/mmm (No. 123)
Inequivalent atoms, fractional coordinates:
Ba 0.000 0.000 0.000 (multiplicity 1)
Co 0.500 0.500 0.500 (multiplicity 1)
H 0.000 0.500 0.500 (multiplicity 2)
H 0.500 0.500 0.183 (multiplicity 2)